Record 1
The following is a DFT calculation (PBE-GGA) of LuScAgAu after structural relaxation.

Summary:
energy relative to the elements	-0.577	eV/atom
DOS(E_F)	2.81	states/eV/f.u.

a b c (Å): 4.9230 4.9230 4.9230
angles (deg): 60.00 60.00 60.00
Last column: nearest neighbours and their distance in Å.
Fractional positions:
Lu 0.0000 0.0000 0.0000  4 Ag 3.01, 4 Au 3.01
Sc 0.5000 0.5000 0.5000  4 Au 3.01, 4 Ag 3.01
Ag 0.2500 0.2500 0.2500  4 Sc 3.01, 4 Lu 3.01
Au 0.7500 0.7500 0.7500  4 Sc 3.01, 4 Lu 3.01



Record 2
The following is a DFT calculation (PBE-GGA) of TbPm3Sc3Te8 after structural relaxation.

Summary:
uncorrected formation energy	-1.32	eV per atom
DOS(E_F)	7.94	states/eV/f.u.

a b c (Å): 8.6348 8.6348 8.6348
angles (deg): 59.60 59.60 59.60
Last column: nearest neighbours and their distance in Å.
Fractional positions:
Tb 0.0000 0.0000 0.0000  6 Te 3.13
Pm 0.0000 0.0000 0.5000  6 Te 3.14
Pm 0.0000 0.5000 0.0000  6 Te 3.14
Pm 0.5000 0.0000 0.0000  6 Te 3.14
Sc 0.0000 0.5000 0.5000  6 Te 2.95
Sc 0.5000 0.0000 0.5000  6 Te 2.95
Sc 0.5000 0.5000 0.0000  6 Te 2.95
Te 0.2568 0.2568 0.7280  2 Sc 2.95, 1 Tb 3.13, 2 Pm 3.14
Te 0.2568 0.7280 0.2568  2 Sc 2.95, 1 Tb 3.13, 2 Pm 3.14
Te 0.2578 0.2578 0.2578  3 Sc 2.95, 3 Pm 3.14
Te 0.2720 0.7432 0.7432  2 Sc 2.95, 1 Tb 3.13, 2 Pm 3.14
Te 0.7280 0.2568 0.2568  2 Sc 2.95, 1 Tb 3.13, 2 Pm 3.14
Te 0.7422 0.7422 0.7422  3 Sc 2.95, 3 Pm 3.14
Te 0.7432 0.2720 0.7432  2 Sc 2.95, 1 Tb 3.13, 2 Pm 3.14
Te 0.7432 0.7432 0.2720  2 Sc 2.95, 1 Tb 3.13, 2 Pm 3.14



Record 3
The following is a DFT calculation (PBE-GGA) of Nb2IrRu2 after structural relaxation.

Summary:
energy relative to the elements	-0.074	eV/atom
DOS(E_F)	6.07	states/eV/f.u.
E above lowest polymorph	22	meV/atom

a b c (Å): 7.2192 7.2192 3.1059
angles (deg): 90.00 90.00 90.00
Last column: nearest neighbours and their distance in Å.
Fractional positions:
Nb 0.1716 0.3284 0.0000  6 Ru 2.54-2.70
Nb 0.3284 0.8284 0.0000  6 Ru 2.54-2.70
Nb 0.6716 0.1716 0.0000  6 Ru 2.54-2.70
Nb 0.8284 0.6716 0.0000  6 Ru 2.54-2.70
Ir 0.0000 0.0000 0.5000  4 Ru 2.83, 8 Nb 3.09, 2 Ir 3.11
Ir 0.5000 0.5000 0.5000  4 Ru 2.83, 8 Nb 3.09, 2 Ir 3.11
Ru 0.1310 0.6310 0.5000  6 Nb 2.54-2.70, 1 Ru 2.67, 2 Ir 2.83
Ru 0.3690 0.1310 0.5000  6 Nb 2.54-2.70, 1 Ru 2.67, 2 Ir 2.83
Ru 0.6310 0.8690 0.5000  6 Nb 2.54-2.70, 1 Ru 2.67, 2 Ir 2.83
Ru 0.8690 0.3690 0.5000  6 Nb 2.54-2.70, 1 Ru 2.67, 2 Ir 2.83